A relaxed Al4CdSe crystal. Source: the Alexandria database, functional PBE-GGA.

ΔE_f (raw)   19.5 kJ/mol of atoms
Symmetry   F-43m, No. 216
Size of the total moment   0.0 μB/cell
Crystal system   cubic

Cell: 5.5085 5.5085 5.5085 Å, 60.00 60.00 60.00°
With the nearest neighbours (Å) after each atom.
Sites, in units of the cell vectors:
Al 0.1243 0.1243 0.1243  6 Al 2.74-2.77
Al 0.1243 0.1243 0.6270  6 Al 2.74-2.77
Al 0.1243 0.6270 0.1243  6 Al 2.74-2.77
Al 0.6270 0.1243 0.1243  6 Al 2.74-2.77
Cd 0.7500 0.7500 0.7500  12 Al 3.23, 4 Se 3.37
Se 0.5000 0.5000 0.5000  12 Al 3.23, 4 Cd 3.37